VASP calculation (GGA-PBE) on a relaxed NdMg2Sc crystal.

a b c (Å): 3.6719 3.6719 7.7988
angles (deg): 90.00 90.00 90.00
Last column: nearest neighbours and their distance in Å.
Sites, in units of the cell vectors:
Sc  0.5000  0.5000  0.0000  8 Mg 3.12
Mg  0.0000  0.0000  0.7783  4 Sc 3.12, 4 Nd 3.38, 1 Mg 3.46
Mg  0.0000  0.0000  0.2217  4 Sc 3.12, 4 Nd 3.38, 1 Mg 3.46
Nd  0.5000  0.5000  0.5000  8 Mg 3.38, 4 Nd 3.67

Results
total moment: 0.00 μB/f.u.
space-group type: P4/mmm, No. 123
energy of formation from the pure elements: -0.05 eV/atom